1.
DFT (PBE-GGA) results for a geometry-optimized PrHo2Sc structure.

Lattice parameters (Å, degrees): 7.008 7.002 14.051 119.82 89.88 120.30
Positions (direct):
Pr 0.249 0.496 0.122
Pr 0.252 0.005 0.378
Pr 0.751 0.504 0.878
Pr 0.748 0.995 0.622
Ho 0.752 0.003 0.375
Ho 0.254 0.003 0.125
Ho 0.746 0.997 0.875
Ho 0.246 0.498 0.375
Ho 0.248 0.997 0.625
Ho 0.754 0.502 0.625
Ho 0.252 0.503 0.875
Ho 0.748 0.497 0.125
Sc 0.248 0.992 0.870
Sc 0.251 0.508 0.630
Sc 0.752 0.008 0.130
Sc 0.749 0.492 0.370

Results
Raw total energy, eV/atom: -5.020
Excess energy over the best structure of this formula in the dataset, meV per atom: 1
ΔH_f (0 K), eV per atom: 0.047

***

2.
DFT (PBE-GGA) results for a geometry-optimized PrHoSc4 structure.

Lattice parameters (Å, degrees): 5.356 11.594 5.981 90.00 90.00 117.53
Positions (direct):
Sc 0.172 0.422 0.588
Sc 0.172 0.922 0.412
Sc 0.329 0.579 0.090
Sc 0.828 0.578 0.412
Sc 0.671 0.921 0.090
Sc 0.329 0.079 0.910
Sc 0.671 0.421 0.910
Sc 0.828 0.078 0.588
Ho 0.500 0.750 0.575
Ho 0.500 0.250 0.425
Pr 0.000 0.250 0.074
Pr 0.000 0.750 0.926

Results
Raw total energy, eV/atom: -5.740
Excess energy over the best structure of this formula in the dataset, meV per atom: 0
ΔH_f (0 K), eV per atom: 0.041

***

3.
DFT (PBE-GGA) results for a geometry-optimized Pr3HoSc structure.

Lattice parameters (Å, degrees): 3.552 10.771 17.585 90.00 90.00 90.00
Positions (direct):
Ho 0.742 0.750 0.605
Ho 0.258 0.250 0.395
Ho 0.742 0.250 0.895
Ho 0.258 0.750 0.105
Pr 0.255 0.000 0.250
Pr 0.754 0.939 0.423
Pr 0.255 0.500 0.250
Pr 0.754 0.439 0.077
Pr 0.745 0.500 0.750
Pr 0.246 0.439 0.577
Pr 0.246 0.561 0.923
Pr 0.246 0.061 0.577
Pr 0.754 0.061 0.077
Pr 0.246 0.939 0.923
Pr 0.754 0.561 0.423
Pr 0.745 0.000 0.750
Sc 0.757 0.750 0.271
Sc 0.757 0.250 0.229
Sc 0.243 0.250 0.729
Sc 0.243 0.750 0.771

Results
Raw total energy, eV/atom: -4.894
Excess energy over the best structure of this formula in the dataset, meV per atom: 19
ΔH_f (0 K), eV per atom: 0.156

***

4.
DFT (PBE-GGA) results for a geometry-optimized Pr2Ho3Sc2 structure.

Lattice parameters (Å, degrees): 5.221 3.488 12.050 90.00 77.49 90.00
Positions (direct):
Pr 0.423 0.500 0.153
Pr 0.577 0.500 0.847
Ho 0.158 0.000 0.683
Ho 0.842 0.000 0.317
Ho 0.000 0.000 0.000
Sc 0.283 0.500 0.434
Sc 0.717 0.500 0.566

Results
Raw total energy, eV/atom: -5.102
Excess energy over the best structure of this formula in the dataset, meV per atom: 0
ΔH_f (0 K), eV per atom: 0.035

***

5.
DFT (PBE-GGA) results for a geometry-optimized Pr9HoSc2 structure.

Lattice parameters (Å, degrees): 5.115 5.115 15.367 90.00 90.00 90.00
Positions (direct):
Pr 0.500 0.500 0.665
Pr 0.500 0.500 0.335
Pr 0.000 0.500 0.171
Pr 0.500 0.000 0.171
Pr 0.000 0.500 0.829
Pr 0.500 0.000 0.500
Pr 0.000 0.500 0.500
Pr 0.500 0.000 0.829
Pr 0.500 0.500 0.000
Sc 0.000 0.000 0.335
Sc 0.000 0.000 0.665
Ho 0.000 0.000 0.000

Results
Raw total energy, eV/atom: -4.990
ΔH_f (0 K), eV per atom: 0.031

***

6.
DFT (PBE-GGA) results for a geometry-optimized PrHo3Sc6 structure.

Lattice parameters (Å, degrees): 9.281 9.281 6.548 44.87 44.87 60.00
Positions (direct):
Sc 0.233 0.899 0.301
Sc 0.728 0.072 0.801
Sc 0.899 0.567 0.301
Sc 0.567 0.233 0.301
Sc 0.072 0.399 0.801
Sc 0.399 0.728 0.801
Ho 0.401 0.401 0.798
Ho 0.648 0.648 0.055
Ho 0.153 0.153 0.540
Pr 0.900 0.900 0.299

Results
Raw total energy, eV/atom: -5.244
Excess energy over the best structure of this formula in the dataset, meV per atom: 248
ΔH_f (0 K), eV per atom: 0.406

***

7.
DFT (PBE-GGA) results for a geometry-optimized PrHo4Sc structure.

Lattice parameters (Å, degrees): 4.976 4.977 8.981 90.00 90.01 90.01
Positions (direct):
Ho 0.997 0.501 0.793
Ho 0.997 0.501 0.210
Ho 0.497 0.001 0.210
Ho 0.497 0.001 0.794
Pr 0.997 0.001 0.502
Sc 0.497 0.501 0.002

Results
Raw total energy, eV/atom: -4.269
Excess energy over the best structure of this formula in the dataset, meV per atom: 431
ΔH_f (0 K), eV per atom: 0.634

***

8.
DFT (PBE-GGA) results for a geometry-optimized PrHo2Sc6 structure.

Lattice parameters (Å, degrees): 7.813 7.813 9.701 90.00 90.00 90.00
Positions (direct):
Sc 0.237 0.763 0.000
Sc 0.239 0.761 0.336
Sc 0.239 0.761 0.664
Sc 0.261 0.261 0.836
Sc 0.761 0.239 0.664
Sc 0.263 0.263 0.500
Sc 0.261 0.261 0.164
Sc 0.761 0.239 0.336
Sc 0.763 0.237 0.000
Sc 0.739 0.739 0.164
Sc 0.739 0.739 0.836
Sc 0.737 0.737 0.500
Ho 0.500 0.500 0.332
Ho 0.000 0.000 0.168
Ho 0.000 0.000 0.832
Ho 0.500 0.500 0.668
Pr 0.000 0.000 0.500
Pr 0.500 0.500 0.000

Results
Raw total energy, eV/atom: -4.909
ΔH_f (0 K), eV per atom: 0.860